# 1
# Tl2AgTe

A relaxed structure of Tl2AgTe (GGA-PBE, the Alexandria database).

```
data_Tl2AgTe
_chemical_formula_sum 'Tl8 Ag4 Te4'
_cell_length_a 7.7073
_cell_length_b 7.7073
_cell_length_c 7.7073
_cell_angle_alpha 90.00
_cell_angle_beta 90.00
_cell_angle_gamma 90.00
_space_group_name_H-M_alt 'P 1'
_space_group_IT_number 1
loop_
_space_group_symop_operation_xyz
'x,y,z'
loop_
_atom_site_label
_atom_site_fract_x
_atom_site_fract_y
_atom_site_fract_z
_atom_site_occupancy
Tl1 0.0000 0.0000 0.0000 1
Tl2 0.0000 0.5000 0.5000 1
Tl3 0.2500 0.2500 0.2500 1
Tl4 0.2500 0.7500 0.7500 1
Tl5 0.5000 0.0000 0.5000 1
Tl6 0.5000 0.5000 0.0000 1
Tl7 0.7500 0.2500 0.7500 1
Tl8 0.7500 0.7500 0.2500 1
Ag1 0.0000 0.0000 0.5000 1
Ag2 0.0000 0.5000 0.0000 1
Ag3 0.5000 0.0000 0.0000 1
Ag4 0.5000 0.5000 0.5000 1
Te1 0.2500 0.2500 0.7500 1
Te2 0.2500 0.7500 0.2500 1
Te3 0.7500 0.2500 0.2500 1
Te4 0.7500 0.7500 0.7500 1
```

## Properties
Size of the total moment   0.0 μB per formula unit
Space group   F-43m (216)
VASP energy   -10.505 eV/f.u.
Polymorph energy (0 for the lowest one)   127 meV/atom
Density of states at the Fermi level   8.96 states/eV/cell

# 2
# Tl12Ag3Te5

A relaxed structure of Tl12Ag3Te5 (GGA-PBE, the Alexandria database).

```
data_Tl12Ag3Te5
_chemical_formula_sum 'Tl48 Ag12 Te20'
_cell_length_a 15.9797
_cell_length_b 15.9797
_cell_length_c 15.9797
_cell_angle_alpha 109.47
_cell_angle_beta 109.47
_cell_angle_gamma 109.47
_space_group_name_H-M_alt 'P 1'
_space_group_IT_number 1
loop_
_space_group_symop_operation_xyz
'x,y,z'
loop_
_atom_site_label
_atom_site_fract_x
_atom_site_fract_y
_atom_site_fract_z
_atom_site_occupancy
Tl1 0.0656 0.2315 0.1457 1
Tl2 0.0656 0.3341 0.9199 1
Tl3 0.0801 0.6457 0.4142 1
Tl4 0.0801 0.9344 0.6659 1
Tl5 0.0858 0.7315 0.6659 1
Tl6 0.0858 0.8543 0.4199 1
Tl7 0.1457 0.0656 0.2315 1
Tl8 0.1457 0.5801 0.9142 1
Tl9 0.1659 0.2315 0.5858 1
Tl10 0.1659 0.4344 0.5801 1
Tl11 0.2315 0.1457 0.0656 1
Tl12 0.2315 0.5858 0.1659 1
Tl13 0.2685 0.3341 0.9142 1
Tl14 0.2685 0.4344 0.3543 1
Tl15 0.3341 0.9142 0.2685 1
Tl16 0.3341 0.9199 0.0656 1
Tl17 0.3543 0.2685 0.4344 1
Tl18 0.3543 0.5858 0.9199 1
Tl19 0.4142 0.0801 0.6457 1
Tl20 0.4142 0.8341 0.7685 1
Tl21 0.4199 0.0858 0.8543 1
Tl22 0.4199 0.8341 0.5656 1
Tl23 0.4344 0.3543 0.2685 1
Tl24 0.4344 0.5801 0.1659 1
Tl25 0.5656 0.4199 0.8341 1
Tl26 0.5656 0.6457 0.7315 1
Tl27 0.5801 0.1659 0.4344 1
Tl28 0.5801 0.9142 0.1457 1
Tl29 0.5858 0.1659 0.2315 1
Tl30 0.5858 0.9199 0.3543 1
Tl31 0.6457 0.4142 0.0801 1
Tl32 0.6457 0.7315 0.5656 1
Tl33 0.6659 0.0801 0.9344 1
Tl34 0.6659 0.0858 0.7315 1
Tl35 0.7315 0.5656 0.6457 1
Tl36 0.7315 0.6659 0.0858 1
Tl37 0.7685 0.4142 0.8341 1
Tl38 0.7685 0.8543 0.9344 1
Tl39 0.8341 0.5656 0.4199 1
Tl40 0.8341 0.7685 0.4142 1
Tl41 0.8543 0.4199 0.0858 1
Tl42 0.8543 0.9344 0.7685 1
Tl43 0.9142 0.1457 0.5801 1
Tl44 0.9142 0.2685 0.3341 1
Tl45 0.9199 0.0656 0.3341 1
Tl46 0.9199 0.3543 0.5858 1
Tl47 0.9344 0.6659 0.0801 1
Tl48 0.9344 0.7685 0.8543 1
Ag1 0.1250 0.2500 0.3750 1
Ag2 0.1250 0.3750 0.7500 1
Ag3 0.2500 0.3750 0.1250 1
Ag4 0.2500 0.8750 0.6250 1
Ag5 0.3750 0.1250 0.2500 1
Ag6 0.3750 0.7500 0.1250 1
Ag7 0.6250 0.2500 0.8750 1
Ag8 0.6250 0.8750 0.7500 1
Ag9 0.7500 0.1250 0.3750 1
Ag10 0.7500 0.6250 0.8750 1
Ag11 0.8750 0.6250 0.2500 1
Ag12 0.8750 0.7500 0.6250 1
Te1 0.0000 0.0000 0.0000 1
Te2 0.0000 0.0000 0.5000 1
Te3 0.0000 0.5000 0.0000 1
Te4 0.0000 0.5000 0.5000 1
Te5 0.1250 0.7500 0.8750 1
Te6 0.1250 0.8750 0.2500 1
Te7 0.2500 0.1250 0.8750 1
Te8 0.2500 0.6250 0.3750 1
Te9 0.3750 0.2500 0.6250 1
Te10 0.3750 0.6250 0.7500 1
Te11 0.5000 0.0000 0.0000 1
Te12 0.5000 0.0000 0.5000 1
Te13 0.5000 0.5000 0.0000 1
Te14 0.5000 0.5000 0.5000 1
Te15 0.6250 0.3750 0.2500 1
Te16 0.6250 0.7500 0.3750 1
Te17 0.7500 0.3750 0.6250 1
Te18 0.7500 0.8750 0.1250 1
Te19 0.8750 0.1250 0.7500 1
Te20 0.8750 0.2500 0.1250 1
```

## Properties
Size of the total moment   0.0 μB per formula unit
Space group   Ia-3d (230)
VASP energy   -52.946 eV/f.u.
Density of states at the Fermi level   16.14 states/eV/cell

# 3
# TlAg2Te

A relaxed structure of TlAg2Te (GGA-PBE, the Alexandria database).

```
data_TlAg2Te
_chemical_formula_sum 'Tl4 Ag8 Te4'
_cell_length_a 4.9999
_cell_length_b 4.9999
_cell_length_c 17.9676
_cell_angle_alpha 90.00
_cell_angle_beta 90.00
_cell_angle_gamma 90.00
_space_group_name_H-M_alt 'P 1'
_space_group_IT_number 1
loop_
_space_group_symop_operation_xyz
'x,y,z'
loop_
_atom_site_label
_atom_site_fract_x
_atom_site_fract_y
_atom_site_fract_z
_atom_site_occupancy
Tl1 0.0000 0.0000 0.0000 1
Tl2 0.0000 0.5000 0.2500 1
Tl3 0.5000 0.0000 0.7500 1
Tl4 0.5000 0.5000 0.5000 1
Ag1 0.2234 0.2500 0.6250 1
Ag2 0.2500 0.7234 0.8750 1
Ag3 0.2500 0.7766 0.3750 1
Ag4 0.2766 0.2500 0.1250 1
Ag5 0.7234 0.7500 0.1250 1
Ag6 0.7500 0.2234 0.3750 1
Ag7 0.7500 0.2766 0.8750 1
Ag8 0.7766 0.7500 0.6250 1
Te1 0.0000 0.0000 0.5000 1
Te2 0.0000 0.5000 0.7500 1
Te3 0.5000 0.0000 0.2500 1
Te4 0.5000 0.5000 0.0000 1
```

## Properties
Size of the total moment   0.0 μB per formula unit
Space group   I-42d (122)
VASP energy   -10.908 eV/f.u.
Polymorph energy (0 for the lowest one)   48 meV/atom
Density of states at the Fermi level   4.08 states/eV/cell

# 4
# Tl2Ag5Te4

A relaxed structure of Tl2Ag5Te4 (GGA-PBE, the Alexandria database).

```
data_Tl2Ag5Te4
_chemical_formula_sum 'Tl2 Ag5 Te4'
_cell_length_a 10.7224
_cell_length_b 8.3483
_cell_length_c 7.8728
_cell_angle_alpha 82.70
_cell_angle_beta 50.56
_cell_angle_gamma 46.74
_space_group_name_H-M_alt 'P 1'
_space_group_IT_number 1
loop_
_space_group_symop_operation_xyz
'x,y,z'
loop_
_atom_site_label
_atom_site_fract_x
_atom_site_fract_y
_atom_site_fract_z
_atom_site_occupancy
Tl1 0.1737 0.1737 0.8263 1
Tl2 0.8263 0.8263 0.1737 1
Ag1 0.0000 0.0000 0.5000 1
Ag2 0.2500 0.2500 0.2500 1
Ag3 0.5000 0.5000 0.0000 1
Ag4 0.5000 0.5000 0.5000 1
Ag5 0.7500 0.7500 0.7500 1
Te1 0.2328 0.5148 0.4852 1
Te2 0.4852 0.7672 0.2328 1
Te3 0.5148 0.2328 0.7672 1
Te4 0.7672 0.4852 0.5148 1
```

## Properties
Size of the total moment   0.0 μB per formula unit
Space group   Fmmm (69)
VASP energy   -32.074 eV/f.u.
Density of states at the Fermi level   4.00 states/eV/cell

# 5
# Tl4Ag18Te11

A relaxed structure of Tl4Ag18Te11 (GGA-PBE, the Alexandria database).

```
data_Tl4Ag18Te11
_chemical_formula_sum 'Tl8 Ag36 Te22'
_cell_length_a 13.3636
_cell_length_b 13.3636
_cell_length_c 13.3636
_cell_angle_alpha 120.08
_cell_angle_beta 120.08
_cell_angle_gamma 89.86
_space_group_name_H-M_alt 'P 1'
_space_group_IT_number 1
loop_
_space_group_symop_operation_xyz
'x,y,z'
loop_
_atom_site_label
_atom_site_fract_x
_atom_site_fract_y
_atom_site_fract_z
_atom_site_occupancy
Tl1 0.0000 0.0000 0.0000 1
Tl2 0.0080 0.0080 0.4723 1
Tl3 0.0080 0.5357 0.0000 1
Tl4 0.2202 0.2202 0.0000 1
Tl5 0.5349 0.5349 0.0000 1
Tl6 0.5357 0.0080 0.0000 1
Tl7 0.5357 0.5357 0.5277 1
Tl8 0.7696 0.7696 0.0000 1
Ag1 0.0283 0.2926 0.2643 1
Ag2 0.0283 0.7639 0.7357 1
Ag3 0.0289 0.2927 0.5155 1
Ag4 0.0289 0.5133 0.7361 1
Ag5 0.0296 0.5132 0.2632 1
Ag6 0.0296 0.7664 0.5164 1
Ag7 0.1563 0.1563 0.3858 1
Ag8 0.1563 0.7705 0.0000 1
Ag9 0.1575 0.7712 0.3863 1
Ag10 0.2490 0.5138 0.7352 1
Ag11 0.2500 0.5132 0.4836 1
Ag12 0.2500 0.7664 0.7368 1
Ag13 0.2926 0.0283 0.2643 1
Ag14 0.2927 0.0289 0.5155 1
Ag15 0.2927 0.7772 0.2639 1
Ag16 0.3850 0.7712 0.6137 1
Ag17 0.3870 0.3870 0.6171 1
Ag18 0.3870 0.7699 0.0000 1
Ag19 0.5133 0.0289 0.7361 1
Ag20 0.5132 0.0296 0.2632 1
Ag21 0.5132 0.2500 0.4836 1
Ag22 0.5133 0.7772 0.4845 1
Ag23 0.5138 0.2490 0.7352 1
Ag24 0.5138 0.7785 0.2648 1
Ag25 0.7639 0.0283 0.7357 1
Ag26 0.7664 0.0296 0.5164 1
Ag27 0.7664 0.2500 0.7368 1
Ag28 0.7699 0.3870 0.0000 1
Ag29 0.7699 0.7699 0.3829 1
Ag30 0.7705 0.1563 0.0000 1
Ag31 0.7712 0.1575 0.3863 1
Ag32 0.7712 0.3850 0.6137 1
Ag33 0.7705 0.7705 0.6142 1
Ag34 0.7772 0.2927 0.2639 1
Ag35 0.7772 0.5133 0.4845 1
Ag36 0.7785 0.5138 0.2648 1
Te1 0.0216 0.5216 0.5000 1
Te2 0.0974 0.8797 0.2177 1
Te3 0.2703 0.2703 0.3140 1
Te4 0.2703 0.9563 0.0000 1
Te5 0.2715 0.5854 0.3140 1
Te6 0.2715 0.9575 0.6860 1
Te7 0.2715 0.2715 0.6846 1
Te8 0.2715 0.5869 0.0000 1
Te9 0.4441 0.6626 0.7815 1
Te10 0.5216 0.0216 0.5000 1
Te11 0.5854 0.2715 0.3140 1
Te12 0.5869 0.2715 0.0000 1
Te13 0.5869 0.5869 0.3154 1
Te14 0.6620 0.8797 0.7823 1
Te15 0.6626 0.4441 0.7815 1
Te16 0.6626 0.8811 0.2185 1
Te17 0.8797 0.0974 0.2177 1
Te18 0.8797 0.6620 0.7823 1
Te19 0.8811 0.6626 0.2185 1
Te20 0.9563 0.2703 0.0000 1
Te21 0.9563 0.9563 0.6860 1
Te22 0.9575 0.2715 0.6860 1
```

## Properties
Size of the total moment   0.0 μB per formula unit
Space group   I4mm (107)
VASP energy   -99.387 eV/f.u.
Density of states at the Fermi level   10.56 states/eV/cell

# 6
# TlAg4Te4

A relaxed structure of TlAg4Te4 (GGA-PBE, the Alexandria database).

```
data_TlAg4Te4
_chemical_formula_sum 'Tl1 Ag4 Te4'
_cell_length_a 4.6559
_cell_length_b 4.6559
_cell_length_c 14.5660
_cell_angle_alpha 90.00
_cell_angle_beta 90.00
_cell_angle_gamma 120.00
_space_group_name_H-M_alt 'P 1'
_space_group_IT_number 1
loop_
_space_group_symop_operation_xyz
'x,y,z'
loop_
_atom_site_label
_atom_site_fract_x
_atom_site_fract_y
_atom_site_fract_z
_atom_site_occupancy
Tl1 0.0000 0.0000 0.0000 1
Ag1 0.3333 0.6667 0.2008 1
Ag2 0.3333 0.6667 0.6530 1
Ag3 0.6667 0.3333 0.3470 1
Ag4 0.6667 0.3333 0.7992 1
Te1 0.0000 0.0000 0.4050 1
Te2 0.0000 0.0000 0.5950 1
Te3 0.3333 0.6667 0.8474 1
Te4 0.6667 0.3333 0.1526 1
```

## Properties
Size of the total moment   0.0 μB per formula unit
Space group   P-3m1 (164)
VASP energy   -27.185 eV/f.u.
Density of states at the Fermi level   3.98 states/eV/cell